No. 1
In2GeAu2 | PBE | optimized geometry

```
In2GeAu2
1.0
-0.278 5.652 6.413
-0.415 -6.418 5.638
2.978 -0.045 0.168
Au In Ge
4 4 2
direct
0.155 0.655 0.500 Au
0.845 0.345 0.500 Au
0.655 0.845 0.500 Au
0.345 0.155 0.500 Au
0.357 0.857 0.000 In
0.857 0.643 0.000 In
0.643 0.143 0.000 In
0.143 0.357 0.000 In
0.000 0.000 0.000 Ge
0.500 0.500 0.000 Ge
```

Values from the calculation:
**Formation enthalpy at 0 K**: 73 meV/atom
**N(E_F)**: 4.50 states/eV per cell
**Symmetry**: P4/mbm
**Energy above the lowest structure with this stoichiometry**: 74 meV per atom



No. 2
In2GeAu2 | PBE | optimized geometry

```
In2GeAu2
1.0
4.250 0.000 0.000
0.000 4.250 0.000
2.125 2.125 6.434
Au Ge In
2 1 2
direct
0.396 0.396 0.208 Au
0.604 0.604 0.792 Au
0.000 0.000 0.000 Ge
0.750 0.250 0.500 In
0.250 0.750 0.500 In
```

Values from the calculation:
**Formation enthalpy at 0 K**: 134 meV/atom
**N(E_F)**: 2.78 states/eV per cell
**Symmetry**: I4/mmm
**Energy above the lowest structure with this stoichiometry**: 134 meV per atom



No. 3
In12Ge3Au5 | PBE | optimized geometry

```
In12Ge3Au5
1.0
-11.476 1.390 8.430
5.762 -12.959 1.886
9.629 10.035 3.360
In Au Ge
48 20 12
direct
0.130 0.403 0.074 In
0.403 0.130 0.574 In
0.228 0.557 0.630 In
0.426 0.057 0.329 In
0.370 0.426 0.097 In
0.443 0.671 0.074 In
0.557 0.329 0.926 In
0.443 0.772 0.870 In
0.926 0.829 0.557 In
0.171 0.097 0.728 In
0.574 0.630 0.403 In
0.772 0.443 0.370 In
0.574 0.943 0.671 In
0.829 0.926 0.057 In
0.370 0.943 0.772 In
0.403 0.272 0.329 In
0.903 0.074 0.630 In
0.597 0.728 0.671 In
0.772 0.329 0.903 In
0.097 0.171 0.228 In
0.943 0.574 0.171 In
0.329 0.772 0.403 In
0.426 0.370 0.597 In
0.057 0.426 0.829 In
0.903 0.829 0.772 In
0.671 0.443 0.574 In
0.228 0.671 0.097 In
0.943 0.370 0.272 In
0.097 0.926 0.370 In
0.829 0.903 0.272 In
0.728 0.130 0.057 In
0.130 0.728 0.557 In
0.272 0.403 0.829 In
0.074 0.171 0.443 In
0.728 0.597 0.171 In
0.630 0.057 0.228 In
0.870 0.272 0.443 In
0.329 0.557 0.426 In
0.074 0.903 0.130 In
0.630 0.574 0.903 In
0.557 0.228 0.130 In
0.057 0.630 0.728 In
0.272 0.870 0.943 In
0.870 0.597 0.926 In
0.597 0.870 0.426 In
0.671 0.228 0.597 In
0.926 0.097 0.870 In
0.171 0.074 0.943 In
0.000 0.500 0.000 Au
0.750 0.125 0.875 Au
0.500 0.500 0.000 Au
0.375 0.125 0.750 Au
0.375 0.250 0.125 Au
0.000 0.500 0.500 Au
0.125 0.750 0.375 Au
0.250 0.875 0.125 Au
0.875 0.625 0.750 Au
0.500 0.000 0.000 Au
0.125 0.375 0.250 Au
0.500 0.500 0.500 Au
0.875 0.250 0.625 Au
0.000 0.000 0.000 Au
0.000 0.000 0.500 Au
0.750 0.625 0.375 Au
0.625 0.750 0.875 Au
0.500 0.000 0.500 Au
0.250 0.375 0.625 Au
0.625 0.875 0.250 Au
0.250 0.625 0.875 Ge
0.750 0.875 0.625 Ge
0.875 0.125 0.250 Ge
0.250 0.125 0.375 Ge
0.125 0.875 0.750 Ge
0.375 0.625 0.250 Ge
0.375 0.750 0.625 Ge
0.125 0.250 0.875 Ge
0.625 0.250 0.375 Ge
0.750 0.375 0.125 Ge
0.875 0.750 0.125 Ge
0.625 0.375 0.750 Ge
```

Values from the calculation:
**Formation enthalpy at 0 K**: 39 meV/atom
**N(E_F)**: 48.96 states/eV per cell
**Symmetry**: Ia-3d



No. 4
InGe2IrAu | PBE | optimized geometry

```
InGe2IrAu
1.0
-1.823 2.474 -3.609
-2.732 -4.215 -1.509
-3.612 1.356 2.753
Ge Au In Ir
2 1 1 1
direct
0.500 0.000 0.000 Ge
0.000 0.000 0.500 Ge
0.500 0.500 0.500 Au
0.000 0.500 0.000 In
0.000 0.000 0.000 Ir
```

Values from the calculation:
**Formation enthalpy at 0 K**: 153 meV/atom
**N(E_F)**: 2.87 states/eV per cell
**Symmetry**: P4/mmm